Record 1
Here is an optimized crystal structure of CsSnF3 from the Alexandria database. Energies are from GGA-PBE.

Uncorrected formation energy (eV/atom): -2.186
Volume (Å³/atom): 23.48

Unit cell a=8.9917 b=8.9917 c=8.9917 alpha=145.27 beta=145.27 gamma=49.93
Element x y z (fractional)
Cs 0.1071 0.1071 0.0000
Cs 0.8929 0.8929 0.0000
Sn 0.5000 0.5000 0.0000
Sn 0.7500 0.2500 0.5000
F 0.0230 0.5230 0.5000
F 0.1173 0.3565 0.7608
F 0.4770 0.9770 0.5000
F 0.5957 0.3565 0.2392
F 0.6435 0.4043 0.7608
F 0.6435 0.8827 0.2392

---

Record 2
Here is an optimized crystal structure of Na2PrMg2Ge2 from the Alexandria database. Energies are from GGA-PBE.

E_form (eV/atom): -0.192
Volume (Å³/atom): 23.60

Unit cell a=4.9060 b=4.9060 c=8.4231 alpha=106.89 beta=106.89 gamma=59.85
Element x y z (fractional)
Na 0.0802 0.0802 0.2397
Na 0.9198 0.9198 0.7603
Pr 0.5000 0.5000 0.5000
Mg 0.3619 0.3619 0.0860
Mg 0.6381 0.6381 0.9140
Ge 0.2442 0.2442 0.7343
Ge 0.7558 0.7558 0.2657

---

Record 3
Here is an optimized crystal structure of LiGd2Sn from the Alexandria database. Energies are from GGA-PBE.

E_form (eV/atom): -0.452
Volume (Å³/atom): 25.99

Unit cell a=4.9091 b=4.9091 c=4.3136 alpha=90.00 beta=90.00 gamma=90.00
Element x y z (fractional)
Li 0.0000 0.0000 0.0000
Gd 0.0000 0.5000 0.5000
Gd 0.5000 0.0000 0.5000
Sn 0.5000 0.5000 0.0000

---

Record 4
Here is an optimized crystal structure of Zr2CdAu from the Alexandria database. Energies are from GGA-PBE.

E_form (eV/atom): -0.275
Volume (Å³/atom): 20.67

Unit cell a=5.2540 b=5.2540 c=3.1920 alpha=90.17 beta=90.17 gamma=110.20
Element x y z (fractional)
Zr 0.0000 0.5000 0.0000
Zr 0.5000 0.0000 0.0000
Cd 0.0000 0.0000 0.5000
Au 0.5000 0.5000 0.5000

---

Record 5
Here is an optimized crystal structure of Sr2RuPtO6 from the Alexandria database. Energies are from GGA-PBE.

Uncorrected formation energy (eV/atom): -1.599
Volume (Å³/atom): 12.87

Unit cell a=5.5886 b=5.6327 c=5.6889 alpha=61.28 beta=60.61 gamma=60.33
Element x y z (fractional)
Sr 0.2501 0.2422 0.2576
Sr 0.7499 0.7578 0.7424
Ru 0.5000 0.5000 0.5000
Pt 0.0000 0.0000 0.0000
O 0.1982 0.7929 0.3105
O 0.2547 0.6577 0.8326
O 0.3030 0.2055 0.6906
O 0.6970 0.7945 0.3094
O 0.7453 0.3423 0.1674
O 0.8018 0.2071 0.6895

---

Record 6
Here is an optimized crystal structure of PuHfH from the Alexandria database. Energies are from GGA-PBE.

Volume (Å³/atom): 16.58
Relative energy among the computed polymorphs (eV/atom): 0.000

Unit cell a=3.2284 b=3.2284 c=5.5120 alpha=90.00 beta=90.00 gamma=120.00
Element x y z (fractional)
Pu 0.0000 0.0000 0.0000
Hf 0.6667 0.3333 0.4831
H 0.3333 0.6667 0.6919